PBE+U Sr4V2Se6O21, relaxed; space group = No. 43; electronic total energy = -6.1258 eV/atom; crystal system = orthorhombic; mass density = 3.95 g/cm3
1.0
0.0000 13.0364 6.6162
6.1441 0.0000 6.6162
6.1441 13.0364 0.0000
Sr V Se O
8 4 12 42
direct
0.1091 0.8909 0.3154 Sr
0.2253 0.7211 0.5233 Sr
0.5654 0.9346 0.3591 Sr
0.7197 0.7267 0.5289 Sr
0.7211 0.2253 0.5303 Sr
0.7267 0.7197 0.0247 Sr
0.8909 0.1091 0.6846 Sr
0.9346 0.5654 0.1409 Sr
0.2303 0.2818 0.5073 V
0.2694 0.7427 0.9682 V
0.2818 0.2303 0.9806 V
0.7427 0.2694 0.0197 V
0.0414 0.3662 0.3321 Se
0.0643 0.3803 0.8324 Se
0.3662 0.0414 0.2603 Se
0.3803 0.0643 0.7230 Se
0.4023 0.6178 0.6358 Se
0.4176 0.5270 0.1857 Se
0.5270 0.4176 0.8697 Se
0.6142 0.9060 0.8477 Se
0.6178 0.4023 0.3440 Se
0.9060 0.6142 0.6322 Se
0.9179 0.9897 0.2086 Se
0.9897 0.9179 0.8838 Se
0.0505 0.2714 0.6168 O
0.0525 0.5460 0.8760 O
0.1211 0.9370 0.0335 O
0.1236 0.2987 0.0337 O
0.1657 0.4314 0.6426 O
0.1834 0.9863 0.4221 O
0.1887 0.6332 0.9786 O
0.2165 0.3416 0.1289 O
0.2163 0.7060 0.1264 O
0.2714 0.0505 0.0613 O
0.2987 0.1236 0.5440 O
0.3131 0.4802 0.3783 O
0.3407 0.7614 0.5815 O
0.3416 0.2165 0.3130 O
0.3740 0.7246 0.1975 O
0.4217 0.8717 0.7698 O
0.4314 0.1657 0.7603 O
0.4434 0.4434 0.5566 O
0.4678 0.8985 0.2751 O
0.4802 0.3131 0.8283 O
0.4897 0.6074 0.8186 O
0.5460 0.0525 0.5254 O
0.5848 0.6535 0.5062 O
0.6074 0.4897 0.0843 O
0.6332 0.1887 0.1995 O
0.6535 0.5848 0.2555 O
0.6685 0.9336 0.9093 O
0.6934 0.6934 0.8066 O
0.7060 0.2163 0.9513 O
0.7246 0.3740 0.7040 O
0.7438 0.9945 0.6652 O
0.7614 0.3407 0.3164 O
0.8279 0.8418 0.0666 O
0.8418 0.8279 0.2637 O
0.8717 0.4217 0.9369 O
0.8914 0.9749 0.3515 O
0.8985 0.4678 0.3586 O
0.9336 0.6685 0.4886 O
0.9370 0.1211 0.9084 O
0.9749 0.8914 0.7822 O
0.9863 0.1834 0.4082 O
0.9945 0.7438 0.5965 O